# 1
Material: MnIn2W
Method: DFT, GGA-PBE
State: optimized geometry

```
data_MnIn2W
_space_group_name_H-M_alt 'P 1'
_space_group_IT_number 1
_cell_length_a 2.9413
_cell_length_b 4.7840
_cell_length_c 5.1729
_cell_angle_alpha 90.00
_cell_angle_beta 90.10
_cell_angle_gamma 90.00
loop_
_space_group_symop_operation_xyz
'x,y,z'
loop_
_atom_site_label
_atom_site_type_symbol
_atom_site_fract_x
_atom_site_fract_y
_atom_site_fract_z
Mn1 Mn 0.0000 0.0000 0.0000
In1 In 0.4970 0.5000 0.8164
In2 In 0.4980 0.0000 0.4662
W1 W 0.9965 0.5000 0.2940
```

Calculated values
The calculation puts the total DFT energy (no corrections) at -6.402 eV per atom. For the formation energy from the elements, the calculation gives 498 meV/atom. The value obtained for the density is 10.7 Mg/m³. The value obtained for the offset from the most stable computed form is 176 meV/atom.


# 2
Material: Th2Zn3Pd
Method: DFT, GGA-PBE
State: optimized geometry

```
data_Th2Zn3Pd
_space_group_name_H-M_alt 'P 1'
_space_group_IT_number 1
_cell_length_a 3.5379
_cell_length_b 4.5826
_cell_length_c 7.9471
_cell_angle_alpha 90.00
_cell_angle_beta 90.00
_cell_angle_gamma 90.00
loop_
_space_group_symop_operation_xyz
'x,y,z'
loop_
_atom_site_label
_atom_site_type_symbol
_atom_site_fract_x
_atom_site_fract_y
_atom_site_fract_z
Th1 Th 0.0000 0.0000 0.0000
Th2 Th 0.0000 0.5000 0.4792
Zn1 Zn 0.5000 0.0000 0.6628
Zn2 Zn 0.5000 0.5000 0.1493
Zn3 Zn 0.5000 0.5000 0.8200
Pd1 Pd 0.5000 0.0000 0.3263
```

Calculated values
The calculation puts the total DFT energy (no corrections) at -4.425 eV per atom. For the formation energy from the elements, the calculation gives -449 meV/atom. The value obtained for the density is 9.9 Mg/m³.


# 3
Material: Sc5Zn4Tc
Method: DFT, GGA-PBE
State: optimized geometry

```
data_Sc5Zn4Tc
_space_group_name_H-M_alt 'P 1'
_space_group_IT_number 1
_cell_length_a 3.3340
_cell_length_b 3.3340
_cell_length_c 16.6497
_cell_angle_alpha 90.00
_cell_angle_beta 90.00
_cell_angle_gamma 90.00
loop_
_space_group_symop_operation_xyz
'x,y,z'
loop_
_atom_site_label
_atom_site_type_symbol
_atom_site_fract_x
_atom_site_fract_y
_atom_site_fract_z
Sc1 Sc 0.0000 0.0000 0.0000
Sc2 Sc 0.0000 0.0000 0.2019
Sc3 Sc 0.0000 0.0000 0.4096
Sc4 Sc 0.0000 0.0000 0.5904
Sc5 Sc 0.0000 0.0000 0.7981
Zn1 Zn 0.5000 0.5000 0.1006
Zn2 Zn 0.5000 0.5000 0.3049
Zn3 Zn 0.5000 0.5000 0.6951
Zn4 Zn 0.5000 0.5000 0.8994
Tc1 Tc 0.5000 0.5000 0.5000
```

Calculated values
The calculation puts the total DFT energy (no corrections) at -5.063 eV per atom. For the formation energy from the elements, the calculation gives -351 meV/atom. The value obtained for the density is 5.2 Mg/m³.


# 4
Material: Al2TlAg2
Method: DFT, GGA-PBE
State: optimized geometry

```
data_Al2TlAg2
_space_group_name_H-M_alt 'P 1'
_space_group_IT_number 1
_cell_length_a 7.0495
_cell_length_b 7.0495
_cell_length_c 7.0495
_cell_angle_alpha 146.81
_cell_angle_beta 146.81
_cell_angle_gamma 47.65
loop_
_space_group_symop_operation_xyz
'x,y,z'
loop_
_atom_site_label
_atom_site_type_symbol
_atom_site_fract_x
_atom_site_fract_y
_atom_site_fract_z
Al1 Al 0.2500 0.7500 0.5000
Al2 Al 0.7500 0.2500 0.5000
Tl1 Tl 0.0000 0.0000 0.0000
Ag1 Ag 0.3876 0.3876 0.0000
Ag2 Ag 0.6124 0.6124 0.0000
```

Calculated values
The calculation puts the total DFT energy (no corrections) at -3.015 eV per atom. For the formation energy from the elements, the calculation gives 95 meV/atom. The value obtained for the density is 7.5 Mg/m³. The value obtained for the offset from the most stable computed form is 29 meV/atom.


# 5
Material: Si2RuPt
Method: DFT, GGA-PBE
State: optimized geometry

```
data_Si2RuPt
_space_group_name_H-M_alt 'P 1'
_space_group_IT_number 1
_cell_length_a 7.8755
_cell_length_b 7.8755
_cell_length_c 7.8755
_cell_angle_alpha 21.18
_cell_angle_beta 21.18
_cell_angle_gamma 21.18
loop_
_space_group_symop_operation_xyz
'x,y,z'
loop_
_atom_site_label
_atom_site_type_symbol
_atom_site_fract_x
_atom_site_fract_y
_atom_site_fract_z
Si1 Si 0.2455 0.2455 0.2455
Si2 Si 0.7545 0.7545 0.7545
Ru1 Ru 0.5000 0.5000 0.5000
Pt1 Pt 0.0000 0.0000 0.0000
```

Calculated values
The calculation puts the total DFT energy (no corrections) at -6.936 eV per atom. Its raw formation energy is -38 kJ/mol of atoms. The value obtained for the density is 10.5 Mg/m³.


# 6
Material: La5PrPb5
Method: DFT, GGA-PBE
State: optimized geometry

```
data_La5PrPb5
_space_group_name_H-M_alt 'P 1'
_space_group_IT_number 1
_cell_length_a 8.1845
_cell_length_b 8.1845
_cell_length_c 9.0177
_cell_angle_alpha 105.94
_cell_angle_beta 105.94
_cell_angle_gamma 47.34
loop_
_space_group_symop_operation_xyz
'x,y,z'
loop_
_atom_site_label
_atom_site_type_symbol
_atom_site_fract_x
_atom_site_fract_y
_atom_site_fract_z
La1 La 0.0000 0.0000 0.0000
La2 La 0.3308 0.3308 0.6639
La3 La 0.3319 0.3319 0.1666
La4 La 0.6681 0.6681 0.8334
La5 La 0.6692 0.6692 0.3361
Pr1 Pr 0.0000 0.0000 0.5000
Pb1 Pb 0.1630 0.1630 0.3290
Pb2 Pb 0.1640 0.1640 0.8340
Pb3 Pb 0.5000 0.5000 0.5000
Pb4 Pb 0.8360 0.8360 0.1660
Pb5 Pb 0.8370 0.8370 0.6710
```

Calculated values
The calculation puts the total DFT energy (no corrections) at -4.752 eV per atom. For the formation energy from the elements, the calculation gives -392 meV/atom. The value obtained for the density is 7.3 Mg/m³.


# 7
Material: Pm3Y2Hg4
Method: DFT, GGA-PBE
State: optimized geometry

```
data_Pm3Y2Hg4
_space_group_name_H-M_alt 'P 1'
_space_group_IT_number 1
_cell_length_a 10.0846
_cell_length_b 10.0846
_cell_length_c 8.0688
_cell_angle_alpha 90.00
_cell_angle_beta 90.00
_cell_angle_gamma 140.02
loop_
_space_group_symop_operation_xyz
'x,y,z'
loop_
_atom_site_label
_atom_site_type_symbol
_atom_site_fract_x
_atom_site_fract_y
_atom_site_fract_z
Pm1 Pm 0.0000 0.0000 0.0000
Pm2 Pm 0.0110 0.4890 0.2500
Pm3 Pm 0.4890 0.0110 0.7500
Pm4 Pm 0.5000 0.5000 0.5000
Pm5 Pm 0.5110 0.9890 0.2500
Pm6 Pm 0.9890 0.5110 0.7500
Y1 Y 0.0938 0.9062 0.4143
Y2 Y 0.4062 0.5938 0.9143
Y3 Y 0.5938 0.4062 0.0857
Y4 Y 0.9062 0.0938 0.5857
Hg1 Hg 0.1602 0.8398 0.0388
Hg2 Hg 0.1782 0.3218 0.2500
Hg3 Hg 0.3218 0.1782 0.7500
Hg4 Hg 0.3398 0.6602 0.5388
Hg5 Hg 0.6602 0.3398 0.4612
Hg6 Hg 0.6782 0.8218 0.2500
Hg7 Hg 0.8218 0.6782 0.7500
Hg8 Hg 0.8398 0.1602 0.9612
```

Calculated values
The calculation puts the total DFT energy (no corrections) at -3.460 eV per atom. For the formation energy from the elements, the calculation gives -306 meV/atom. The value obtained for the density is 8.9 Mg/m³.